A plane-wave DFT calculation with PBE was carried out for a relaxed structure of Sc2TaHg.

Calculated values
- Energy of formation from the pure elements: 261 meV per atom
- Crystal system: cubic
- E: -5.9434 eV/atom

abc: 6.917 6.917 6.917
angles: 90.00 90.00 90.00
Space group F-43m (No. 216)
Asymmetric unit:
Sc: 0.000 0.000 0.000 (multiplicity 4)
Sc: 0.250 0.250 0.250 (multiplicity 4)
Ta: 0.000 0.000 0.500 (multiplicity 4)
Hg: 0.250 0.250 0.750 (multiplicity 4)